Here is crystalline CaIn2Se2 at its relaxed geometry from Alexandria. Energies are from PBE-GGA.

Calculated total energy (eV/atom): -3.567
Crystal system: tetragonal

Unit cell a=7.8398 b=7.8398 c=4.5905 alpha=90.00 beta=90.00 gamma=90.00
With the nearest neighbours (Å) after each atom.
Space group P4/mbm (No. 127)
Symmetry-distinct sites (fractional):
Ca 0.0000 0.0000 0.0000 [2 per cell]  4 Se 2.88
In 0.1404 0.3596 0.5000 [4 per cell]  6 Se 3.05-3.41, 1 In 3.11
Se 0.1788 0.6788 0.0000 [4 per cell]  2 Ca 2.88, 2 In 3.05

---

Here is crystalline CaInSe3 at its relaxed geometry from Alexandria. Energies are from PBE-GGA.

Calculated total energy (eV/atom): -3.529
Offset from the most stable computed form (eV/atom): 0.0000
Crystal system: cubic

Unit cell a=5.2793 b=5.2793 c=5.2793 alpha=90.00 beta=90.00 gamma=90.00
With the nearest neighbours (Å) after each atom.
Space group Pm-3m (No. 221)
Symmetry-distinct sites (fractional):
Ca 0.0000 0.0000 0.0000 [1 per cell]  12 Se 3.73
In 0.5000 0.5000 0.5000 [1 per cell]  6 Se 2.64
Se 0.0000 0.5000 0.5000 [3 per cell]  2 In 2.64

---

Here is crystalline CaIn2Se at its relaxed geometry from Alexandria. Energies are from PBE-GGA.

Calculated total energy (eV/atom): -3.340
Crystal system: trigonal

Unit cell a=4.0573 b=4.0573 c=24.6140 alpha=90.00 beta=90.00 gamma=120.00
With the nearest neighbours (Å) after each atom.
Space group R3m (No. 160, hexagonal axes)
Symmetry-distinct sites (fractional):
Ca 0.0000 0.0000 0.0000 [3 per cell]  3 Se 2.86
In 0.0000 0.0000 0.5195 [3 per cell]  3 Se 3.06, 3 In 3.11
In 0.0000 0.0000 0.7700 [3 per cell]  3 In 3.11, 3 Ca 3.46
Se 0.0000 0.0000 0.2664 [3 per cell]  3 Ca 2.86, 3 In 3.06

---

Here is crystalline CaIn3Se at its relaxed geometry from Alexandria. Energies are from PBE-GGA.

Calculated total energy (eV/atom): -2.653
Offset from the most stable computed form (eV/atom): 0.0000
Crystal system: cubic

Unit cell a=5.5925 b=5.5925 c=5.5925 alpha=90.00 beta=90.00 gamma=90.00
With the nearest neighbours (Å) after each atom.
Space group Pm-3m (No. 221)
Symmetry-distinct sites (fractional):
Ca 0.0000 0.0000 0.0000 [1 per cell]  12 In 3.95
In 0.0000 0.5000 0.5000 [3 per cell]  2 Se 2.80
Se 0.5000 0.5000 0.5000 [1 per cell]  6 In 2.80

---

Number 1: uncorrected formation energy -0.677 eV per atom. Number 2: uncorrected formation energy -0.490 eV per atom. Number 3: uncorrected formation energy -0.599 eV per atom. Number 4: uncorrected formation energy 0.087 eV per atom.